No. 1
First-principles (PBE-GGA) data for P2SeF after structural relaxation, as listed in Alexandria.

Results
Relative energy among the computed polymorphs in eV/f.u.: 0.00
Electronic total energy in hartree per atom: -0.14899
V in A^3/atom: 18.1
ΔE_f (raw) in eV/atom: -0.01
Spin magnetization in μB per cell: 0.0

abc: 8.222 8.222 6.194
angles: 48.41 48.41 90.00
Positions (direct):
F (0.500, 0.500, 0.000)
F (0.250, 0.750, 0.500)
P (0.375, 0.318, 0.750)
P (0.875, 0.932, 0.750)
P (0.682, 0.125, 0.250)
P (0.068, 0.625, 0.250)
Se (0.750, 0.250, 0.500)
Se (0.000, 0.000, 0.000)



No. 2
First-principles (PBE-GGA) data for AcSmRu after structural relaxation, as listed in Alexandria.

Results
Relative energy among the computed polymorphs in eV/f.u.: 0.08
Electronic total energy in hartree per atom: -0.22793
V in A^3/atom: 32.3
E_form in meV per atom: -168
Spin magnetization in μB per cell: 0.0

abc: 7.167 6.809 7.948
angles: 93.51 90.00 90.00
Positions (direct):
Ru (0.241, 0.000, 0.160)
Ru (0.759, 0.000, 0.840)
Ru (0.741, 0.500, 0.340)
Ru (0.259, 0.500, 0.660)
Sm (0.076, 0.762, 0.888)
Sm (0.924, 0.238, 0.112)
Sm (0.424, 0.262, 0.388)
Sm (0.576, 0.738, 0.612)
Ac (0.074, 0.734, 0.388)
Ac (0.426, 0.234, 0.888)
Ac (0.926, 0.266, 0.612)
Ac (0.574, 0.766, 0.112)



No. 3
First-principles (PBE-GGA) data for Ca2TaCdPt after structural relaxation, as listed in Alexandria.

Results
Electronic total energy in hartree per atom: -0.11958
V in A^3/atom: 31.5
E_form in meV per atom: 1308
Spin magnetization in μB per cell: 0.0

abc: 5.517 5.168 5.517
angles: 90.00 90.00 90.00
Positions (direct):
Ca (0.000, 0.000, 0.500)
Ca (0.500, 0.000, 0.000)
Cd (0.000, 0.500, 0.000)
Ta (0.000, 0.000, 0.000)
Pt (0.500, 0.500, 0.500)



No. 4
First-principles (PBE-GGA) data for BaIn2GaIr after structural relaxation, as listed in Alexandria.

Results
Electronic total energy in hartree per atom: -0.15472
V in A^3/atom: 27.0
E_form in meV per atom: -353
Spin magnetization in μB per cell: 0.0

abc: 5.241 5.241 4.915
angles: 90.00 90.00 90.00
Positions (direct):
Ba (0.500, 0.500, 0.500)
Ga (0.000, 0.000, 0.500)
In (0.500, 0.000, 0.000)
In (0.000, 0.500, 0.000)
Ir (0.000, 0.000, 0.000)